# Sr2FeIr, relaxed, DFT PBE
data_Sr2FeIr
_chemical_formula_sum 'Sr2 Fe1 Ir1'
_cell_length_a 8.512
_cell_length_b 8.512
_cell_length_c 8.512
_cell_angle_alpha 28.59
_cell_angle_beta 28.59
_cell_angle_gamma 28.59
_space_group_name_H-M_alt 'P 1'
_space_group_IT_number 1
loop_
_space_group_symop_operation_xyz
'x,y,z'
loop_
_atom_site_label
_atom_site_fract_x
_atom_site_fract_y
_atom_site_fract_z
_atom_site_occupancy
Sr1 0.000 0.000 0.000 1
Sr2 0.171 0.171 0.171 1
Fe1 0.752 0.752 0.752 1
Ir1 0.419 0.419 0.419 1
# Total moment (μB/cell): 2.852
# E (eV per cell): -21.06
# DFT formation energy (eV/atom): -0.094